Here is GaSi2Mo after structural relaxation from the Open Quantum Materials Database. Energies are from PBE-GGA.

Cell: 4.387 4.387 4.387 Å, 60.00 60.00 60.00°
Element x y z (fractional)
Ga1 0.500 0.500 0.500
Mo1 0.250 0.250 0.250
Si1 0.000 0.000 0.000
Si2 0.750 0.750 0.750

Output
Raw total energy = -22.77 eV per formula unit